Run P
# Li3BAs

A relaxed structure of Li3BAs (PBE-GGA, the Alexandria database).

Output
Magnetization, μB per cell: 1.0

abc: 4.2088 4.2088 4.2088
angles: 90.00 90.00 90.00
Last column: magnetic moment on the atom in μB.
Positions (direct):
As 0.5000 0.5000 0.5000  -0.06
B 0.0000 0.0000 0.0000  0.42
Li 0.0000 0.5000 0.0000  0.02
Li 0.0000 0.0000 0.5000  0.04
Li 0.5000 0.0000 0.0000  0.01


Run Q
# Li3BAs

A relaxed structure of Li3BAs (PBE-GGA, the Alexandria database).

Output
Magnetization, μB per cell: 0.8

abc: 4.7193 4.7193 4.7193
angles: 90.00 90.00 90.00
Last column: magnetic moment on the atom in μB.
Positions (direct):
As 0.0000 0.0000 0.0000  -0.02
B 0.5000 0.5000 0.5000  0.27
Li 0.0000 0.5000 0.0000  0.00
Li 0.0000 0.0000 0.5000  0.00
Li 0.5000 0.0000 0.0000  0.00


The computed energies, referenced to the most stable structure and given in kJ/mol of atoms, are run P 0.0; run Q 18.9.


Run P
# Li2BAs2

A relaxed structure of Li2BAs2 (PBE-GGA, the Alexandria database).

Output
Magnetization, μB per cell: 0.0

abc: 4.0497 4.0497 6.0794
angles: 70.55 70.55 90.00
Positions (direct):
As 0.3937 0.3937 0.2125
As 0.6063 0.6063 0.7875
B 0.0000 0.0000 0.0000
Li 0.7500 0.2500 0.5000
Li 0.2500 0.7500 0.5000


Run Q
# Li2BAs2

A relaxed structure of Li2BAs2 (PBE-GGA, the Alexandria database).

Output
Magnetization, μB per cell: 0.0

abc: 6.0696 6.0696 4.2474
angles: 90.00 90.00 90.00
Positions (direct):
As 0.3389 0.8389 0.0000
As 0.8389 0.6611 0.0000
As 0.6611 0.1611 0.0000
As 0.1611 0.3389 0.0000
B 0.0000 0.0000 0.0000
B 0.5000 0.5000 0.0000
Li 0.1616 0.6616 0.5000
Li 0.6616 0.8384 0.5000
Li 0.8384 0.3384 0.5000
Li 0.3384 0.1616 0.5000


The computed energies, referenced to the most stable structure and given in kJ/mol of atoms, are run P 44.8; run Q 0.0.


Run P
# Mg3BAs

A relaxed structure of Mg3BAs (PBE-GGA, the Alexandria database).

Output
Magnetization, μB per cell: 0.0

abc: 4.5177 4.5177 4.5177
angles: 90.00 90.00 90.00
Positions (direct):
As 0.5000 0.5000 0.5000
B 0.0000 0.0000 0.0000
Mg 0.0000 0.5000 0.0000
Mg 0.0000 0.0000 0.5000
Mg 0.5000 0.0000 0.0000


Run Q
# Mg3BAs

A relaxed structure of Mg3BAs (PBE-GGA, the Alexandria database).

Output
Magnetization, μB per cell: 0.0

abc: 4.9236 4.9236 4.9236
angles: 90.00 90.00 90.00
Positions (direct):
As 0.0000 0.0000 0.0000
B 0.5000 0.5000 0.5000
Mg 0.0000 0.5000 0.0000
Mg 0.0000 0.0000 0.5000
Mg 0.5000 0.0000 0.0000


The computed energies, referenced to the most stable structure and given in kJ/mol of atoms, are run P 0.0; run Q 68.4.


Run P
# MgBAs2

A relaxed structure of MgBAs2 (PBE-GGA, the Alexandria database).

Output
Magnetization, μB per cell: 0.0

abc: 3.2148 3.2148 8.2321
angles: 78.74 78.74 60.00
Positions (direct):
As 0.1140 0.1140 0.6581
As 0.8860 0.8860 0.3419
B 0.5000 0.5000 0.5000
Mg 0.0000 0.0000 0.0000


Run Q
# MgBAs2

A relaxed structure of MgBAs2 (PBE-GGA, the Alexandria database).

Output
Magnetization, μB per cell: 0.0

abc: 6.1208 6.1208 5.8071
angles: 58.20 58.20 90.00
Positions (direct):
As 0.5449 0.1250 0.2500
As 0.2051 0.6250 0.2500
As 0.3750 0.4551 0.7500
As 0.8750 0.7949 0.7500
B 0.5000 0.5000 0.0000
B 0.2500 0.7500 0.5000
Mg 0.0000 0.0000 0.0000
Mg 0.7500 0.2500 0.5000


The computed energies, referenced to the most stable structure and given in kJ/mol of atoms, are run P 35.4; run Q 0.0.